Version P
{"formula": "Pm2YHg", "functional": "PBE", "state": "relaxed", "lattice": [[3.5541, 0.0000, 0.0000], [1.7771, 3.0780, 0.0000], [1.7771, 1.0260, 12.2399]], "species": ["Y", "Hg", "Pm", "Pm"], "frac_coords": [[0.5000, 0.5000, 0.5000], [0.0000, 0.0000, 0.0000], [0.0884, 0.0884, 0.7347], [0.9116, 0.9116, 0.2653]]}

***

Version Q
{"formula": "Pm2YHg", "functional": "PBE", "state": "relaxed", "lattice": [[-3.7033, 3.9512, 4.0911], [-1.8804, -5.6406, 3.7455], [8.2978, 1.3534, 6.2040]], "species": ["Hg", "Y", "Y", "Hg", "Hg", "Pm", "Pm", "Pm", "Pm", "Pm", "Pm", "Y", "Pm", "Pm", "Hg", "Y"], "frac_coords": [[0.0464, 0.4188, 0.2500], [0.3938, 0.5008, 0.7500], [0.1062, 0.0008, 0.7500], [0.5464, 0.0812, 0.7500], [0.9536, 0.5812, 0.7500], [0.3099, 0.2039, 0.4592], [0.6901, 0.7961, 0.5408], [0.1901, 0.7039, 0.4592], [0.1901, 0.7039, 0.0408], [0.3099, 0.2039, 0.0408], [0.8099, 0.2961, 0.9592], [0.8938, 0.9992, 0.2500], [0.8099, 0.2961, 0.5408], [0.6901, 0.7961, 0.9592], [0.4536, 0.9188, 0.2500], [0.6062, 0.4992, 0.2500]]}

***

Least stable of them? version P.

***

Version P
{"formula": "PmYHg", "functional": "PBE", "state": "relaxed", "lattice": [[3.8343, 0.0000, 0.0000], [0.0000, 5.1733, 0.0000], [0.0000, -2.5866, 4.4802]], "species": ["Y", "Pm", "Hg"], "frac_coords": [[0.5751, 0.6667, 0.3333], [0.0385, 0.0000, 0.0000], [0.3864, 0.3333, 0.6667]]}

***

Version Q
{"formula": "PmYHg", "functional": "PBE", "state": "relaxed", "lattice": [[6.5520, -2.0826, 0.0000], [-3.2102, 6.0795, 0.0000], [0.0000, 0.0000, 5.2431]], "species": ["Hg", "Y", "Hg", "Pm", "Pm", "Y"], "frac_coords": [[0.7531, 0.2469, 0.2500], [0.6041, 0.3959, 0.7500], [0.2469, 0.7531, 0.7500], [0.9109, 0.0891, 0.7500], [0.0891, 0.9109, 0.2500], [0.3959, 0.6041, 0.2500]]}

***

Least stable of them? version P.